# 1
Computed, not measured: TaInAgMo2 after structural relaxation at the PBE level of DFT.

Computed properties:
The calculation puts the mass density at 8.29 g/cm³. The density of states at the Fermi level is 5.54 states/eV/f.u. Its energy of formation is 2.347 eV/atom.

Lattice parameters (Å, degrees): 4.8846 4.9976 4.8846 90.00 90.00 90.00
Last column: nearest neighbours and their distance in Å.
Element x y z (fractional)
Ag 0.5000 0.5000 0.5000  4 Ta 3.45, 8 Mo 3.49
Ta 0.0000 0.5000 0.0000  2 In 2.50
Mo 0.5000 0.0000 0.0000  2 In 2.44
Mo 0.0000 0.0000 0.5000  2 In 2.44
In 0.0000 0.0000 0.0000  4 Mo 2.44, 2 Ta 2.50

***

# 2
Computed, not measured: TaSbRu3 after structural relaxation at the PBE level of DFT.

Computed properties:
The calculation puts the mass density at 9.84 g/cm³. As for the offset from the most stable computed form: 0.293 eV per atom. The density of states at the Fermi level is 3.89 states/eV/f.u.

Lattice parameters (Å, degrees): 4.6767 4.6767 4.6767 90.00 90.00 90.00
Last column: nearest neighbours and their distance in Å.
Element x y z (fractional)
Ta 0.5000 0.5000 0.5000  12 Ru 3.31
Ru 0.5000 0.0000 0.0000  2 Sb 2.34
Ru 0.0000 0.0000 0.5000  2 Sb 2.34
Ru 0.0000 0.5000 0.0000  2 Sb 2.34
Sb 0.0000 0.0000 0.0000  6 Ru 2.34

***

# 3
Computed, not measured: Y8TlSb5 after structural relaxation at the PBE level of DFT.

Computed properties:
The calculation puts the mass density at 6.42 g/cm³. The density of states at the Fermi level is 15.52 states/eV/f.u. The total energy is -6.251 eV per atom.

Lattice parameters (Å, degrees): 8.0010 8.0010 8.0010 109.49 109.44 109.49
Last column: nearest neighbours and their distance in Å.
Element x y z (fractional)
Y 0.7680 0.2506 0.3740  5 Sb 3.08-3.32, 1 Tl 3.32
Y 0.1246 0.7521 0.0200  5 Sb 3.08-3.32, 1 Tl 3.10
Y 0.1234 0.7494 0.5174  5 Sb 3.08-3.32, 1 Tl 3.32
Y 0.2679 0.2479 0.3725  5 Sb 3.08-3.32, 1 Tl 3.10
Y 0.6275 0.8954 0.8754  5 Sb 3.08-3.32, 1 Tl 3.10
Y 0.4826 0.6060 0.2320  5 Sb 3.08-3.32, 1 Tl 3.32
Y 0.6260 0.3940 0.8766  5 Sb 3.08-3.32, 1 Tl 3.32
Y 0.9800 0.1046 0.7321  5 Sb 3.08-3.32, 1 Tl 3.10
Tl 0.2500 0.5000 0.7500  8 Y 3.10-3.32
Sb 0.8747 0.8749 0.2500  8 Y 3.08-3.32
Sb 0.7500 0.6247 0.6248  8 Y 3.08-3.32
Sb 0.0001 0.3753 0.1253  8 Y 3.08-3.32
Sb 0.5000 0.0000 0.5000  8 Y 3.09-3.31
Sb 0.3752 0.1251 0.9999  8 Y 3.08-3.32

***

# 4
Computed, not measured: BaNi after structural relaxation at the PBE level of DFT.

Computed properties:
The calculation puts the mass density at 5.81 g/cm³. The density of states at the Fermi level is 1.99 states/eV/f.u. Its energy of formation is 0.347 eV/atom.

Lattice parameters (Å, degrees): 9.2501 15.0393 6.4449 90.00 90.00 90.00
Last column: nearest neighbours and their distance in Å.
Element x y z (fractional)
Ni 0.7500 0.3266 0.2500  1 Ni 2.30
Ni 0.0000 0.0766 0.0000  1 Ni 2.30
Ni 0.7500 0.6734 0.7500  1 Ni 2.30
Ni 0.7500 0.1734 0.2500  1 Ni 2.30
Ni 0.5000 0.9234 0.5000  1 Ni 2.30
Ni 0.2500 0.6734 0.2500  1 Ni 2.30
Ni 0.5000 0.0766 0.5000  1 Ni 2.30
Ni 0.0000 0.4234 0.5000  1 Ni 2.30
Ni 0.2500 0.3266 0.7500  1 Ni 2.30
Ni 0.5000 0.5766 0.0000  1 Ni 2.30
Ni 0.7500 0.8266 0.7500  1 Ni 2.30
Ni 0.2500 0.8266 0.2500  1 Ni 2.30
Ni 0.5000 0.4234 0.0000  1 Ni 2.30
Ni 0.0000 0.5766 0.5000  1 Ni 2.30
Ni 0.2500 0.1734 0.7500  1 Ni 2.30
Ni 0.0000 0.9234 0.0000  1 Ni 2.30
Ba 0.0657 0.2500 0.2500  4 Ni 3.12-3.14, 3 Ba 3.41-3.44
Ba 0.9343 0.2500 0.7500  4 Ni 3.12-3.14, 3 Ba 3.41-3.44
Ba 0.4343 0.2500 0.2500  4 Ni 3.12-3.14, 3 Ba 3.41-3.44
Ba 0.6843 0.0000 0.0000  4 Ni 3.12-3.14, 3 Ba 3.41-3.44
Ba 0.4343 0.7500 0.7500  4 Ni 3.12-3.14, 3 Ba 3.41-3.44
Ba 0.5657 0.7500 0.2500  4 Ni 3.12-3.14, 3 Ba 3.41-3.44
Ba 0.1843 0.0000 0.5000  4 Ni 3.12-3.14, 3 Ba 3.41-3.44
Ba 0.6843 0.5000 0.5000  4 Ni 3.12-3.14, 3 Ba 3.41-3.44
Ba 0.3157 0.0000 0.0000  4 Ni 3.12-3.14, 3 Ba 3.41-3.44
Ba 0.3157 0.5000 0.5000  4 Ni 3.12-3.14, 3 Ba 3.41-3.44
Ba 0.8157 0.5000 0.0000  4 Ni 3.12-3.14, 3 Ba 3.41-3.44
Ba 0.1843 0.5000 0.0000  4 Ni 3.12-3.14, 3 Ba 3.41-3.44
Ba 0.5657 0.2500 0.7500  4 Ni 3.12-3.14, 3 Ba 3.41-3.44
Ba 0.9343 0.7500 0.2500  4 Ni 3.12-3.14, 3 Ba 3.41-3.44
Ba 0.0657 0.7500 0.7500  4 Ni 3.12-3.14, 3 Ba 3.41-3.44
Ba 0.8157 0.0000 0.5000  4 Ni 3.12-3.14, 3 Ba 3.41-3.44

***

What did the second record say?
Computed, not measured: TaSbRu3 after structural relaxation at the PBE level of DFT.

Computed properties:
The calculation puts the mass density at 9.84 g/cm³. As for the offset from the most stable computed form: 0.293 eV per atom. The density of states at the Fermi level is 3.89 states/eV/f.u.

Lattice parameters (Å, degrees): 4.6767 4.6767 4.6767 90.00 90.00 90.00
Last column: nearest neighbours and their distance in Å.
Element x y z (fractional)
Ta 0.5000 0.5000 0.5000  12 Ru 3.31
Ru 0.5000 0.0000 0.0000  2 Sb 2.34
Ru 0.0000 0.0000 0.5000  2 Sb 2.34
Ru 0.0000 0.5000 0.0000  2 Sb 2.34
Sb 0.0000 0.0000 0.0000  6 Ru 2.34

***

Q: The highest mass density belongs to which entry?
A: TaSbRu3

***

Please write out number 3 again, unchanged.
Computed, not measured: Y8TlSb5 after structural relaxation at the PBE level of DFT.

Computed properties:
The calculation puts the mass density at 6.42 g/cm³. The density of states at the Fermi level is 15.52 states/eV/f.u. The total energy is -6.251 eV per atom.

Lattice parameters (Å, degrees): 8.0010 8.0010 8.0010 109.49 109.44 109.49
Last column: nearest neighbours and their distance in Å.
Element x y z (fractional)
Y 0.7680 0.2506 0.3740  5 Sb 3.08-3.32, 1 Tl 3.32
Y 0.1246 0.7521 0.0200  5 Sb 3.08-3.32, 1 Tl 3.10
Y 0.1234 0.7494 0.5174  5 Sb 3.08-3.32, 1 Tl 3.32
Y 0.2679 0.2479 0.3725  5 Sb 3.08-3.32, 1 Tl 3.10
Y 0.6275 0.8954 0.8754  5 Sb 3.08-3.32, 1 Tl 3.10
Y 0.4826 0.6060 0.2320  5 Sb 3.08-3.32, 1 Tl 3.32
Y 0.6260 0.3940 0.8766  5 Sb 3.08-3.32, 1 Tl 3.32
Y 0.9800 0.1046 0.7321  5 Sb 3.08-3.32, 1 Tl 3.10
Tl 0.2500 0.5000 0.7500  8 Y 3.10-3.32
Sb 0.8747 0.8749 0.2500  8 Y 3.08-3.32
Sb 0.7500 0.6247 0.6248  8 Y 3.08-3.32
Sb 0.0001 0.3753 0.1253  8 Y 3.08-3.32
Sb 0.5000 0.0000 0.5000  8 Y 3.09-3.31
Sb 0.3752 0.1251 0.9999  8 Y 3.08-3.32

***

Q: The highest mass density belongs to which entry?
A: TaSbRu3